Entry 1:
A plane-wave DFT calculation with PBE was carried out for Ho2HfTaN4 after structural relaxation.

Properties
Spin magnetization   0.00 μB per formula unit
N(E_F)   1.6 states/eV/f.u.
Calculated density   12.366 g/cm³
Symmetry   P2/m
ΔE_f (raw)   -12.82 eV/f.u.

a = 5.6613 Å, b = 3.2606 Å, c = 5.7403 Å
α = 90.00°, β = 109.18°, γ = 90.00°
Element x y z (fractional)
Ho (0.0000, 0.0000, 0.0000)
Ho (0.5000, 0.5000, 0.0000)
Hf (0.0000, 0.5000, 0.5000)
Ta (0.5000, 0.0000, 0.5000)
N (0.2437, 0.0000, 0.7266)
N (0.2610, 0.5000, 0.2753)
N (0.7390, 0.5000, 0.7247)
N (0.7563, 0.0000, 0.2734)



Entry 2:
A plane-wave DFT calculation with PBE was carried out for Rb2HgSe after structural relaxation.

Properties
Spin magnetization   0.00 μB per formula unit
Calculated density   2.776 g/cm³
Symmetry   I4/mmm
Distance to the lowest polymorph of the same formula   226.0 kJ/mol of formula units
ΔE_f (raw)   -0.69 eV/f.u.

a = 7.8909 Å, b = 7.8909 Å, c = 7.8909 Å
α = 131.55°, β = 131.55°, γ = 70.94°
Element x y z (fractional)
Rb (0.2360, 0.2360, 0.0000)
Rb (0.7640, 0.7640, 0.0000)
Hg (0.5000, 0.5000, 0.0000)
Se (0.0000, 0.0000, 0.0000)



Entry 3:
A plane-wave DFT calculation with PBE was carried out for La2Be3CuSi4 after structural relaxation.

Properties
Spin magnetization   0.00 μB per formula unit
N(E_F)   3.0 states/eV/f.u.
Calculated density   4.920 g/cm³
Symmetry   P-4m2
ΔE_f (raw)   -4.34 eV/f.u.

a = 4.0867 Å, b = 4.0867 Å, c = 9.7145 Å
α = 90.00°, β = 90.00°, γ = 90.00°
Element x y z (fractional)
La (0.0000, 0.5000, 0.2486)
La (0.5000, 0.0000, 0.7514)
Be (0.0000, 0.5000, 0.8747)
Be (0.5000, 0.0000, 0.1253)
Be (0.5000, 0.5000, 0.5000)
Cu (0.0000, 0.0000, 0.5000)
Si (0.0000, 0.0000, 0.0000)
Si (0.0000, 0.5000, 0.6323)
Si (0.5000, 0.0000, 0.3677)
Si (0.5000, 0.5000, 0.0000)



Entry 4:
A plane-wave DFT calculation with PBE was carried out for Cd2GaOsO6 after structural relaxation.

Properties
Spin magnetization   0.00 μB per formula unit
N(E_F)   5.3 states/eV/f.u.
Calculated density   7.013 g/cm³
Symmetry   P4mm
ΔE_f (raw)   -9.37 eV/f.u.

a = 5.2304 Å, b = 5.2304 Å, c = 5.0270 Å
α = 90.00°, β = 90.00°, γ = 90.00°
Element x y z (fractional)
Cd (0.0000, 0.5000, 0.0000)
Cd (0.5000, 0.0000, 0.0000)
Ga (0.0000, 0.0000, 0.5488)
Os (0.5000, 0.5000, 0.5713)
O (0.0000, 0.0000, 0.1841)
O (0.2539, 0.2539, 0.6967)
O (0.2539, 0.7461, 0.6967)
O (0.5000, 0.5000, 0.2160)
O (0.7461, 0.2539, 0.6967)
O (0.7461, 0.7461, 0.6967)



Entry 5:
A plane-wave DFT calculation with PBE was carried out for AlSbBr2 after structural relaxation.

Properties
Spin magnetization   0.00 μB per formula unit
N(E_F)   2.9 states/eV/f.u.
Calculated density   4.298 g/cm³
Symmetry   Cmm2
Distance to the lowest polymorph of the same formula   96.2 kJ/mol of formula units
ΔE_f (raw)   -0.35 eV/f.u.

a = 3.8015 Å, b = 3.8015 Å, c = 9.6800 Å
α = 90.00°, β = 90.00°, γ = 121.55°
Element x y z (fractional)
Al (0.0000, 0.0000, 0.0000)
Sb (0.5000, 0.5000, 0.2272)
Br (0.0000, 0.0000, 0.4551)
Br (0.5000, 0.5000, 0.8134)



Entry 6:
A plane-wave DFT calculation with PBE was carried out for CsPu2Cd2O7 after structural relaxation.

Properties
Spin magnetization   7.00 μB per formula unit
N(E_F)   9.0 states/eV/f.u.
Calculated density   8.109 g/cm³
Symmetry   Immm
ΔE_f (raw)   -24.98 eV/f.u.

a = 10.5742 Å, b = 10.5742 Å, c = 10.5742 Å
α = 156.73°, β = 155.14°, γ = 34.31°
Element x y z (fractional)
Cs (0.0000, 0.0000, 0.0000)
Pu (0.3926, 0.3926, 0.0000)
Pu (0.6074, 0.6074, 0.0000)
Cd (0.2290, 0.7290, 0.5000)
Cd (0.7710, 0.2710, 0.5000)
O (0.1153, 0.6153, 0.5000)
O (0.2761, 0.2761, 0.0000)
O (0.3887, 0.8887, 0.5000)
O (0.5000, 0.5000, 0.0000)
O (0.6113, 0.1113, 0.5000)
O (0.7239, 0.7239, 0.0000)
O (0.8847, 0.3847, 0.5000)



- What is the calculated density in the fourth record?
  7.013 g/cm³



What did the fourth record say?
A plane-wave DFT calculation with PBE was carried out for Cd2GaOsO6 after structural relaxation.

Properties
Spin magnetization   0.00 μB per formula unit
N(E_F)   5.3 states/eV/f.u.
Calculated density   7.013 g/cm³
Symmetry   P4mm
ΔE_f (raw)   -9.37 eV/f.u.

a = 5.2304 Å, b = 5.2304 Å, c = 5.0270 Å
α = 90.00°, β = 90.00°, γ = 90.00°
Element x y z (fractional)
Cd (0.0000, 0.5000, 0.0000)
Cd (0.5000, 0.0000, 0.0000)
Ga (0.0000, 0.0000, 0.5488)
Os (0.5000, 0.5000, 0.5713)
O (0.0000, 0.0000, 0.1841)
O (0.2539, 0.2539, 0.6967)
O (0.2539, 0.7461, 0.6967)
O (0.5000, 0.5000, 0.2160)
O (0.7461, 0.2539, 0.6967)
O (0.7461, 0.7461, 0.6967)



- Which value of spin magnetization does entry 6 give?
  7.00 μB per formula unit



What did the sixth record say?
A plane-wave DFT calculation with PBE was carried out for CsPu2Cd2O7 after structural relaxation.

Properties
Spin magnetization   7.00 μB per formula unit
N(E_F)   9.0 states/eV/f.u.
Calculated density   8.109 g/cm³
Symmetry   Immm
ΔE_f (raw)   -24.98 eV/f.u.

a = 10.5742 Å, b = 10.5742 Å, c = 10.5742 Å
α = 156.73°, β = 155.14°, γ = 34.31°
Element x y z (fractional)
Cs (0.0000, 0.0000, 0.0000)
Pu (0.3926, 0.3926, 0.0000)
Pu (0.6074, 0.6074, 0.0000)
Cd (0.2290, 0.7290, 0.5000)
Cd (0.7710, 0.2710, 0.5000)
O (0.1153, 0.6153, 0.5000)
O (0.2761, 0.2761, 0.0000)
O (0.3887, 0.8887, 0.5000)
O (0.5000, 0.5000, 0.0000)
O (0.6113, 0.1113, 0.5000)
O (0.7239, 0.7239, 0.0000)
O (0.8847, 0.3847, 0.5000)